No. 1
Compound: Pu4Te3Br2
Source: the Alexandria database
Functional: PBE
Structure: optimized geometry

a b c (Å): 4.3792 7.5905 9.5935
angles (deg): 75.57 76.81 73.23
Last column: magnetic moment on the atom in μB.
Fractional positions:
Pu 0.7984 0.0926 0.3106  -5.66
Pu 0.2016 0.9074 0.6894  -5.66
Pu 0.3940 0.3081 0.9039  -5.60
Pu 0.6060 0.6919 0.0961  -5.60
Te 0.0000 0.0000 0.0000  0.10
Te 0.1899 0.3985 0.2216  0.10
Te 0.8101 0.6015 0.7784  0.10
Br 0.6001 0.1930 0.6067  0.05
Br 0.3999 0.8070 0.3933  0.05

Properties
ρ: 8.65 g cm⁻³
uncorrected formation energy: -1.1472 eV per atom
space group: No. 12

No. 2
Compound: PuTeBr
Source: the Alexandria database
Functional: PBE
Structure: optimized geometry

a b c (Å): 4.3734 7.5872 8.3452
angles (deg): 61.74 74.92 90.01
Last column: magnetic moment on the atom in μB.
Fractional positions:
Pu 0.7503 0.7463 0.4994  5.21
Pu 0.2497 0.2537 0.5006  5.21
Te 0.1272 0.4564 0.7473  -0.17
Te 0.8728 0.5436 0.2527  -0.17
Br 0.6393 0.9647 0.7233  -0.07
Br 0.3607 0.0353 0.2767  -0.07

Properties
ρ: 6.44 g cm⁻³
uncorrected formation energy: -1.1636 eV per atom
space group: No. 2

No. 3
Compound: PuTeBr
Source: the Alexandria database
Functional: PBE
Structure: optimized geometry

a b c (Å): 4.1192 4.9609 4.9609
angles (deg): 120.00 90.00 90.00
Last column: magnetic moment on the atom in μB.
Fractional positions:
Te 0.6665 0.6667 0.3333  -0.19
Br 0.1656 0.3333 0.6667  -0.09
Pu 0.1679 0.0000 0.0000  5.25

Properties
ρ: 8.54 g cm⁻³
uncorrected formation energy: -0.9641 eV per atom
space group: No. 156